[1]
# KLiMg, optimized geometry, DFT PBE-GGA
data_KLiMg
_chemical_formula_sum 'K4 Li4 Mg4'
_space_group_name_H-M_alt 'P 1'
_space_group_IT_number 1
_space_group_name_Hall 'P 1'
_cell_length_a 7.8278
_cell_length_b 7.8278
_cell_length_c 7.8278
_cell_angle_alpha 90.00
_cell_angle_beta 90.00
_cell_angle_gamma 90.00
loop_
_atom_site_label
_atom_site_type_symbol
_atom_site_fract_x
_atom_site_fract_y
_atom_site_fract_z
K1 K 0.0000 0.0000 0.0000
K2 K 0.0000 0.5000 0.5000
K3 K 0.5000 0.0000 0.5000
K4 K 0.5000 0.5000 0.0000
Li1 Li 0.2500 0.2500 0.7500
Li2 Li 0.2500 0.7500 0.2500
Li3 Li 0.7500 0.2500 0.2500
Li4 Li 0.7500 0.7500 0.7500
Mg1 Mg 0.0000 0.0000 0.5000
Mg2 Mg 0.0000 0.5000 0.0000
Mg3 Mg 0.5000 0.0000 0.0000
Mg4 Mg 0.5000 0.5000 0.5000
# Total energy   -1.214 eV/atom
# Size of the total moment   0.0 μB/f.u.
# SG   F-43m (216)
# Fermi-level density of states   5.9 states/eV per cell
# Volume   480 Å³ per cell

[2]
# Pm2Ag2HgPd5, optimized geometry, DFT PBE-GGA
data_Pm2Ag2HgPd5
_chemical_formula_sum 'Pm4 Ag4 Hg2 Pd10'
_space_group_name_H-M_alt 'P 1'
_space_group_IT_number 1
_space_group_name_Hall 'P 1'
_cell_length_a 9.7420
_cell_length_b 9.7420
_cell_length_c 4.1415
_cell_angle_alpha 90.00
_cell_angle_beta 90.00
_cell_angle_gamma 90.00
loop_
_atom_site_label
_atom_site_type_symbol
_atom_site_fract_x
_atom_site_fract_y
_atom_site_fract_z
Pm1 Pm 0.1763 0.3237 0.0000
Pm2 Pm 0.3237 0.8237 0.0000
Pm3 Pm 0.6763 0.1763 0.0000
Pm4 Pm 0.8237 0.6763 0.0000
Ag1 Ag 0.1217 0.6217 0.0000
Ag2 Ag 0.3783 0.1217 0.0000
Ag3 Ag 0.6217 0.8783 0.0000
Ag4 Ag 0.8783 0.3783 0.0000
Hg1 Hg 0.0000 0.0000 0.0000
Hg2 Hg 0.5000 0.5000 0.0000
Pd1 Pd 0.0000 0.5000 0.5000
Pd2 Pd 0.0676 0.7989 0.5000
Pd3 Pd 0.2011 0.0676 0.5000
Pd4 Pd 0.2989 0.5676 0.5000
Pd5 Pd 0.4324 0.2989 0.5000
Pd6 Pd 0.5000 0.0000 0.5000
Pd7 Pd 0.5676 0.7011 0.5000
Pd8 Pd 0.7011 0.4324 0.5000
Pd9 Pd 0.7989 0.9324 0.5000
Pd10 Pd 0.9324 0.2011 0.5000
# Total energy   -4.601 eV/atom
# Size of the total moment   0.0 μB/f.u.
# SG   P4/mbm (127)
# Fermi-level density of states   7.3 states/eV per cell
# Volume   393 Å³ per cell

[3]
# ZrC, optimized geometry, DFT PBE-GGA
data_ZrC
_chemical_formula_sum 'Zr6 C6'
_space_group_name_H-M_alt 'P 1'
_space_group_IT_number 1
_space_group_name_Hall 'P 1'
_cell_length_a 8.5207
_cell_length_b 8.5207
_cell_length_c 3.8216
_cell_angle_alpha 90.00
_cell_angle_beta 90.00
_cell_angle_gamma 120.00
loop_
_atom_site_label
_atom_site_type_symbol
_atom_site_fract_x
_atom_site_fract_y
_atom_site_fract_z
Zr1 Zr 0.0775 0.6721 0.2500
Zr2 Zr 0.3279 0.4055 0.2500
Zr3 Zr 0.4055 0.0775 0.7500
Zr4 Zr 0.5945 0.9225 0.2500
Zr5 Zr 0.6721 0.5945 0.7500
Zr6 Zr 0.9225 0.3279 0.7500
C1 C 0.0715 0.4106 0.2500
C2 C 0.3391 0.9285 0.2500
C3 C 0.4106 0.3391 0.7500
C4 C 0.5894 0.6609 0.2500
C5 C 0.6609 0.0715 0.7500
C6 C 0.9285 0.5894 0.7500
# Total energy   -9.024 eV/atom
# Size of the total moment   0.0 μB/f.u.
# SG   P6_3/m (176)
# Volume   240 Å³ per cell

[4]
# CdHRh3, optimized geometry, DFT PBE-GGA
data_CdHRh3
_chemical_formula_sum 'Cd2 H2 Rh6'
_space_group_name_H-M_alt 'P 1'
_space_group_IT_number 1
_space_group_name_Hall 'P 1'
_cell_length_a 9.1631
_cell_length_b 9.1631
_cell_length_c 4.5542
_cell_angle_alpha 90.00
_cell_angle_beta 90.00
_cell_angle_gamma 146.89
loop_
_atom_site_label
_atom_site_type_symbol
_atom_site_fract_x
_atom_site_fract_y
_atom_site_fract_z
Cd1 Cd 0.1409 0.8591 0.7500
Cd2 Cd 0.8591 0.1409 0.2500
H1 H 0.3439 0.6561 0.7500
H2 H 0.6561 0.3439 0.2500
Rh1 Rh 0.0000 0.0000 0.0000
Rh2 Rh 0.0000 0.0000 0.5000
Rh3 Rh 0.0247 0.4624 0.7500
Rh4 Rh 0.4624 0.0247 0.2500
Rh5 Rh 0.5376 0.9753 0.7500
Rh6 Rh 0.9753 0.5376 0.2500
# Total energy   -4.559 eV/atom
# Size of the total moment   0.0 μB/f.u.
# SG   Cmcm (63)
# Fermi-level density of states   9.8 states/eV per cell
# Volume   209 Å³ per cell

[5]
# Sr2LaTc, optimized geometry, DFT PBE-GGA
data_Sr2LaTc
_chemical_formula_sum 'Sr2 La1 Tc1'
_space_group_name_H-M_alt 'P 1'
_space_group_IT_number 1
_space_group_name_Hall 'P 1'
_cell_length_a 3.6039
_cell_length_b 5.0625
_cell_length_c 6.9071
_cell_angle_alpha 90.00
_cell_angle_beta 90.00
_cell_angle_gamma 90.00
loop_
_atom_site_label
_atom_site_type_symbol
_atom_site_fract_x
_atom_site_fract_y
_atom_site_fract_z
Sr1 Sr 0.0000 0.0000 0.2229
Sr2 Sr 0.0000 0.0000 0.7771
La1 La 0.5000 0.5000 0.5000
Tc1 Tc 0.5000 0.5000 0.0000
# Total energy   -3.886 eV/atom
# Size of the total moment   1.2 μB/f.u.
# SG   Pmmm (47)
# Fermi-level density of states   5.3 states/eV per cell
# Volume   126 Å³ per cell

[6]
# PrYMgNi, optimized geometry, DFT PBE-GGA
data_PrYMgNi
_chemical_formula_sum 'Pr4 Y4 Mg4 Ni4'
_space_group_name_H-M_alt 'P 1'
_space_group_IT_number 1
_space_group_name_Hall 'P 1'
_cell_length_a 7.3082
_cell_length_b 7.3082
_cell_length_c 7.3082
_cell_angle_alpha 90.00
_cell_angle_beta 90.00
_cell_angle_gamma 90.00
loop_
_atom_site_label
_atom_site_type_symbol
_atom_site_fract_x
_atom_site_fract_y
_atom_site_fract_z
Pr1 Pr 0.0000 0.0000 0.0000
Pr2 Pr 0.0000 0.5000 0.5000
Pr3 Pr 0.5000 0.0000 0.5000
Pr4 Pr 0.5000 0.5000 0.0000
Y1 Y 0.0000 0.0000 0.5000
Y2 Y 0.0000 0.5000 0.0000
Y3 Y 0.5000 0.0000 0.0000
Y4 Y 0.5000 0.5000 0.5000
Mg1 Mg 0.2500 0.2500 0.7500
Mg2 Mg 0.2500 0.7500 0.2500
Mg3 Mg 0.7500 0.2500 0.2500
Mg4 Mg 0.7500 0.7500 0.7500
Ni1 Ni 0.2500 0.2500 0.2500
Ni2 Ni 0.2500 0.7500 0.7500
Ni3 Ni 0.7500 0.2500 0.7500
Ni4 Ni 0.7500 0.7500 0.2500
# Total energy   -4.721 eV/atom
# Size of the total moment   0.0 μB/f.u.
# SG   F-43m (216)
# Fermi-level density of states   15.3 states/eV per cell
# Volume   390 Å³ per cell